VASP calculation (SCAN) on Al2ReW at its PBEsol-relaxed geometry.

The structure in extended XYZ format:
```
4
Lattice="3.137 0.000 0.000 0.000 3.137 0.000 0.000 0.000 5.919" Properties=species:S:1:pos:R:3 pbc="T T T"
Re 0.000 0.000 2.936
Al 0.000 0.000 0.006
Al 1.568 1.568 1.515
W 1.568 1.568 4.421
```

## Properties
Total magnetization: 0.0 μB per cell
Total energy: -39.397 eV per atom
Symmetry: P4mm (99)
N(E_F): 0.9 states/eV/cell
E_form: -1.30 eV/f.u.